# 1
First-principles (GGA-PBE) data for a geometry-optimized Na8PdAu3 structure, as listed in the Alexandria database.

Summary:
For the total magnetization, the calculation gives 0.000 μB/atom. Its space-group type is Fmmm (69). The value obtained for the formation energy is -12.2 kJ/mol of atoms. The calculation puts the density of states at the Fermi level at 7.9 states/eV/f.u.

a = 8.6152 Å, b = 8.5866 Å, c = 8.6132 Å
α = 47.81°, β = 109.82°, γ = 132.20°
Fractional positions:
Na (0.1240, 0.0000, 0.3674)
Na (0.3685, 0.4907, 0.6316)
Na (0.8778, 0.5093, 0.1223)
Na (0.6326, 0.0000, 0.8761)
Na (0.8760, 0.0000, 0.6326)
Na (0.6315, 0.5092, 0.3684)
Na (0.1223, 0.4908, 0.8777)
Na (0.3674, 0.0000, 0.1240)
Pd (0.0000, 0.0000, 0.0000)
Au (0.7500, 0.5000, 0.7500)
Au (0.2500, 0.5000, 0.2500)
Au (0.5000, 0.0000, 0.5000)

---

# 2
First-principles (GGA-PBE) data for a geometry-optimized Na6PdAu structure, as listed in the Alexandria database.

Summary:
For the total magnetization, the calculation gives 0.000 μB/atom. Its space-group type is R-3m (166). The value obtained for the formation energy is 1.3 kJ/mol of atoms. The calculation puts the density of states at the Fermi level at 3.5 states/eV/f.u.

a = 5.3318 Å, b = 8.5811 Å, c = 8.5811 Å
α = 64.17°, β = 78.05°, γ = 101.95°
Fractional positions:
Na (0.1465, 0.6928, 0.0000)
Na (0.4537, 0.3072, 0.6928)
Na (0.8535, 0.3072, 0.0000)
Na (0.8535, 0.0000, 0.6928)
Na (0.5463, 0.6928, 0.3072)
Na (0.1465, 0.0000, 0.3072)
Pd (0.0000, 0.0000, 0.0000)
Au (0.5000, 0.0000, 0.0000)

---

# 3
First-principles (GGA-PBE) data for a geometry-optimized NaPd2Au2 structure, as listed in the Alexandria database.

Summary:
For the total magnetization, the calculation gives 0.000 μB/atom. Its space-group type is P4/mbm (127). The value obtained for the formation energy is -15.3 kJ/mol of atoms. The calculation puts the density of states at the Fermi level at 2.1 states/eV/f.u.

a = 8.1007 Å, b = 8.1007 Å, c = 2.8527 Å
α = 90.00°, β = 90.00°, γ = 90.00°
Fractional positions:
Na (0.0000, 0.0000, 0.0000)
Na (0.5000, 0.5000, 0.0000)
Au (0.1744, 0.6744, 0.5000)
Au (0.6744, 0.8256, 0.5000)
Au (0.8256, 0.3256, 0.5000)
Au (0.3256, 0.1744, 0.5000)
Pd (0.3780, 0.8780, 0.0000)
Pd (0.8780, 0.6220, 0.0000)
Pd (0.6220, 0.1220, 0.0000)
Pd (0.1220, 0.3780, 0.0000)

---

# 4
First-principles (GGA-PBE) data for a geometry-optimized Na2PdAu structure, as listed in the Alexandria database.

Summary:
For the total magnetization, the calculation gives 0.000 μB/atom. Its space-group type is Cmcm (63). The value obtained for the formation energy is -20.9 kJ/mol of atoms. The calculation puts the density of states at the Fermi level at 1.8 states/eV/f.u.

a = 5.4151 Å, b = 5.6549 Å, c = 5.6549 Å
α = 101.21°, β = 90.00°, γ = 90.00°
Fractional positions:
Na (0.7500, 0.0143, 0.6433)
Na (0.2500, 0.9857, 0.3567)
Na (0.2500, 0.3567, 0.9857)
Na (0.7500, 0.6433, 0.0143)
Pd (0.0000, 0.5000, 0.5000)
Pd (0.5000, 0.5000, 0.5000)
Au (0.7500, 0.1693, 0.1693)
Au (0.2500, 0.8307, 0.8307)

---

# 5
First-principles (GGA-PBE) data for a geometry-optimized Na2PdAu2 structure, as listed in the Alexandria database.

Summary:
For the total magnetization, the calculation gives 0.000 μB/atom. Its space-group type is P4/mbm (127). The value obtained for the formation energy is 2.7 kJ/mol of atoms. The calculation puts the density of states at the Fermi level at 1.7 states/eV/f.u.

a = 8.2884 Å, b = 8.2884 Å, c = 2.8736 Å
α = 90.00°, β = 90.00°, γ = 90.00°
Fractional positions:
Na (0.3673, 0.8673, 0.0000)
Na (0.8673, 0.6327, 0.0000)
Na (0.6327, 0.1327, 0.0000)
Na (0.1327, 0.3673, 0.0000)
Au (0.1675, 0.6675, 0.5000)
Au (0.6675, 0.8325, 0.5000)
Au (0.8325, 0.3325, 0.5000)
Au (0.3325, 0.1675, 0.5000)
Pd (0.0000, 0.0000, 0.0000)
Pd (0.5000, 0.5000, 0.0000)

---

# 6
First-principles (GGA-PBE) data for a geometry-optimized NaPd2Au2 structure, as listed in the Alexandria database.

Summary:
For the total magnetization, the calculation gives 0.000 μB/atom. Its space-group type is I4/mmm (139). The value obtained for the formation energy is -1.8 kJ/mol of atoms. The calculation puts the density of states at the Fermi level at 2.3 states/eV/f.u.

a = 3.8993 Å, b = 3.8993 Å, c = 7.1479 Å
α = 74.17°, β = 74.17°, γ = 90.00°
Fractional positions:
Na (0.0000, 0.0000, 0.0000)
Au (0.3989, 0.3989, 0.2021)
Au (0.6011, 0.6011, 0.7979)
Pd (0.7500, 0.2500, 0.5000)
Pd (0.2500, 0.7500, 0.5000)

---

# 7
First-principles (GGA-PBE) data for a geometry-optimized Na2Pd2Au structure, as listed in the Alexandria database.

Summary:
For the total magnetization, the calculation gives 0.000 μB/atom. Its space-group type is P4/mbm (127). The value obtained for the formation energy is -10.5 kJ/mol of atoms. The calculation puts the density of states at the Fermi level at 2.8 states/eV/f.u.

a = 6.8407 Å, b = 6.8407 Å, c = 4.4550 Å
α = 90.00°, β = 90.00°, γ = 90.00°
Fractional positions:
Na (0.1724, 0.6724, 0.5000)
Na (0.6724, 0.8276, 0.5000)
Na (0.8276, 0.3276, 0.5000)
Na (0.3276, 0.1724, 0.5000)
Au (0.0000, 0.0000, 0.0000)
Au (0.5000, 0.5000, 0.0000)
Pd (0.3657, 0.8657, 0.0000)
Pd (0.8657, 0.6343, 0.0000)
Pd (0.6343, 0.1343, 0.0000)
Pd (0.1343, 0.3657, 0.0000)

---

# 8
First-principles (GGA-PBE) data for a geometry-optimized Na7Pd2Au2 structure, as listed in the Alexandria database.

Summary:
For the total magnetization, the calculation gives 0.000 μB/atom. Its space-group type is C2/m (12). The value obtained for the formation energy is -14.2 kJ/mol of atoms. The calculation puts the density of states at the Fermi level at 3.4 states/eV/f.u.

a = 5.9185 Å, b = 5.9185 Å, c = 7.4284 Å
α = 98.54°, β = 98.54°, γ = 94.63°
Fractional positions:
Na (0.9082, 0.5128, 0.2043)
Na (0.4872, 0.0918, 0.7957)
Na (0.0918, 0.4872, 0.7957)
Na (0.5128, 0.9082, 0.2043)
Na (0.0000, 0.0000, 0.0000)
Na (0.8296, 0.8296, 0.5617)
Na (0.1704, 0.1704, 0.4383)
Pd (0.3380, 0.6620, 0.5000)
Pd (0.6620, 0.3380, 0.5000)
Au (0.6056, 0.6056, 0.8441)
Au (0.3944, 0.3944, 0.1559)

---

# 9
First-principles (GGA-PBE) data for a geometry-optimized NaPd7Au12 structure, as listed in the Alexandria database.

Summary:
For the total magnetization, the calculation gives 0.000 μB/atom. Its space-group type is Im-3 (204). The value obtained for the formation energy is 24.0 kJ/mol of atoms. The calculation puts the density of states at the Fermi level at 9.0 states/eV/f.u.

a = 8.4509 Å, b = 8.4509 Å, c = 8.4509 Å
α = 109.47°, β = 109.47°, γ = 109.47°
Fractional positions:
Na (0.0000, 0.0000, 0.0000)
Pd (0.5000, 0.0000, 0.5000)
Pd (0.5000, 0.5000, 0.0000)
Pd (0.0000, 0.5000, 0.5000)
Pd (0.0000, 0.0000, 0.5000)
Pd (0.5000, 0.0000, 0.0000)
Pd (0.5000, 0.5000, 0.5000)
Pd (0.0000, 0.5000, 0.0000)
Au (0.3572, 0.2494, 0.6066)
Au (0.3572, 0.7506, 0.1078)
Au (0.6428, 0.7506, 0.3934)
Au (0.6428, 0.2494, 0.8922)
Au (0.6066, 0.3572, 0.2494)
Au (0.8922, 0.6428, 0.2494)
Au (0.3934, 0.6428, 0.7506)
Au (0.1078, 0.3572, 0.7506)
Au (0.7506, 0.1078, 0.3572)
Au (0.2494, 0.8922, 0.6428)
Au (0.2494, 0.6066, 0.3572)
Au (0.7506, 0.3934, 0.6428)

---

# 10
First-principles (GGA-PBE) data for a geometry-optimized Na5PdAu structure, as listed in the Alexandria database.

Summary:
For the total magnetization, the calculation gives 0.000 μB/atom. Its space-group type is C2/c (15). The value obtained for the formation energy is -7.5 kJ/mol of atoms. The calculation puts the density of states at the Fermi level at 1.9 states/eV/f.u.

a = 6.0132 Å, b = 6.0132 Å, c = 10.2754 Å
α = 90.51°, β = 90.51°, γ = 89.11°
Fractional positions:
Na (0.0293, 0.6099, 0.1767)
Na (0.2516, 0.4432, 0.5002)
Na (0.6099, 0.0293, 0.6767)
Na (0.8516, 0.1484, 0.2500)
Na (0.5568, 0.7484, 0.9998)
Na (0.4432, 0.2516, 0.0002)
Na (0.1484, 0.8516, 0.7500)
Na (0.3901, 0.9707, 0.3233)
Na (0.7484, 0.5568, 0.4998)
Na (0.9707, 0.3901, 0.8233)
Pd (0.5064, 0.4936, 0.2500)
Pd (0.4936, 0.5064, 0.7500)
Au (0.0000, 0.0000, 0.0000)
Au (0.0000, 0.0000, 0.5000)

---

# 11
First-principles (GGA-PBE) data for a geometry-optimized Na2PdAu structure, as listed in the Alexandria database.

Summary:
For the total magnetization, the calculation gives 0.000 μB/atom. Its space-group type is P4/mmm (123). The value obtained for the formation energy is -13.3 kJ/mol of atoms. The calculation puts the density of states at the Fermi level at 1.2 states/eV/f.u.

a = 3.7207 Å, b = 3.7207 Å, c = 5.8037 Å
α = 90.00°, β = 90.00°, γ = 90.00°
Fractional positions:
Na (0.0000, 0.0000, 0.7453)
Na (0.0000, 0.0000, 0.2547)
Au (0.5000, 0.5000, 0.0000)
Pd (0.5000, 0.5000, 0.5000)

---

# 12
First-principles (GGA-PBE) data for a geometry-optimized NaPd3Au structure, as listed in the Alexandria database.

Summary:
For the total magnetization, the calculation gives 0.000 μB/atom. Its space-group type is Pm-3m (221). The value obtained for the formation energy is 59.5 kJ/mol of atoms. The calculation puts the density of states at the Fermi level at 4.0 states/eV/f.u.

a = 5.0501 Å, b = 5.0501 Å, c = 5.0501 Å
α = 90.00°, β = 90.00°, γ = 90.00°
Fractional positions:
Na (0.5000, 0.5000, 0.5000)
Au (0.0000, 0.0000, 0.0000)
Pd (0.0000, 0.5000, 0.0000)
Pd (0.0000, 0.0000, 0.5000)
Pd (0.5000, 0.0000, 0.0000)